Entry from the Alexandria database: RbYCoF6 after structural relaxation (PBE with a Hubbard U).

Calculated values
* density of states at the Fermi level: 0.0000 states/eV per atom
* total energy: -207.6 eV/cell
* calculated volume: 145.2 Å³/f.u.

a = 7.3294 Å, b = 7.6412 Å, c = 10.3707 Å
α = 90.00°, β = 90.00°, γ = 90.00°
Last column: nearest neighbours and their distance in Å.
Space group Imma (No. 74)
Symmetry-distinct sites (fractional):
Rb 0.0000 0.2500 0.0940 (multiplicity 4)  9 F 2.91-3.17
Y 0.0000 0.0000 0.5000 (multiplicity 4)  8 F 2.23-2.49
Co 0.2500 0.2500 0.7500 (multiplicity 4)  6 F 2.04-2.08
F 0.0000 0.2500 0.3891 (multiplicity 4)  2 Y 2.23
F 0.0000 0.2500 0.6544 (multiplicity 4)  2 Co 2.08
F 0.2372 0.0537 0.8834 (multiplicity 16)  1 Co 2.04